# 1
# ZnCu4Ru

A relaxed ZnCu4Ru crystal (PBE, Alexandria).

## Properties
- ρ: 9.06 g/cm3
- Fermi-level density of states: 2.66 states/eV per cell
- Formation energy from the elements: 0.1922 eV per atom
- Size of the total moment: 0.00 μB/cell
- Total energy: -25.781 eV/cell

a b c (Å): 4.777 4.777 4.777
angles (deg): 60.00 60.00 60.00
Element x y z (fractional)
Zn  0.000  0.000  0.000
Cu  0.125  0.625  0.625
Cu  0.625  0.125  0.625
Cu  0.625  0.625  0.125
Cu  0.625  0.625  0.625
Ru  0.250  0.250  0.250

---

# 2
# RbNa2F6

A relaxed RbNa2F6 crystal (PBE, Alexandria).

## Properties
- ρ: 2.97 g/cm3
- Fermi-level density of states: 1.88 states/eV per cell
- Size of the total moment: 0.00 μB/cell
- Total energy: -31.076 eV/cell
- Formation energy (no corrections): -16.2 eV/f.u.

a b c (Å): 6.301 6.301 3.828
angles (deg): 95.61 95.61 65.44
Element x y z (fractional)
Rb  0.000  0.000  0.000
Na  0.338  0.338  0.690
Na  0.662  0.662  0.310
F  0.101  0.552  0.181
F  0.295  0.705  0.500
F  0.448  0.899  0.819
F  0.552  0.101  0.181
F  0.705  0.295  0.500
F  0.899  0.448  0.819

---

# 3
# Ni2WBr

A relaxed Ni2WBr crystal (PBE, Alexandria).

## Properties
- ρ: 8.97 g/cm3
- Fermi-level density of states: 4.15 states/eV per cell
- Size of the total moment: 0.00 μB/cell
- Distance to the lowest polymorph of the same formula: 382.6 meV per atom
- Total energy: -23.245 eV/cell
- Formation energy (no corrections): 2.9 eV/f.u.

a b c (Å): 4.329 4.329 5.531
angles (deg): 91.79 91.79 42.94
Element x y z (fractional)
Ni  0.205  0.205  0.346
Ni  0.795  0.795  0.654
W  0.500  0.500  0.500
Br  0.000  0.000  0.000

---

# 4
# Dy6Te3Pt2S

A relaxed Dy6Te3Pt2S crystal (PBE, Alexandria).

## Properties
- ρ: 9.18 g/cm3
- Fermi-level density of states: 5.65 states/eV per cell
- Size of the total moment: 0.00 μB/cell
- Total energy: -70.135 eV/cell
- Formation energy (no corrections): -16.9 eV/f.u.

a b c (Å): 7.181 7.181 7.599
angles (deg): 98.99 98.99 120.08
Element x y z (fractional)
Dy  0.087  0.428  0.787
Dy  0.230  0.230  0.214
Dy  0.428  0.087  0.787
Dy  0.572  0.913  0.213
Dy  0.770  0.770  0.786
Dy  0.913  0.572  0.213
Te  0.000  0.000  0.500
Te  0.337  0.663  0.500
Te  0.663  0.337  0.500
Pt  0.167  0.833  0.000
Pt  0.833  0.167  0.000
S  0.500  0.500  0.000